DFT (GGA-PBE) results for an optimized crystal structure of AlSb2Pd6.

Cell and atoms, written as CIF:
```
data_AlSb2Pd6
_chemical_formula_sum 'Al1 Sb2 Pd6'
_cell_length_a 7.1277
_cell_length_b 7.1277
_cell_length_c 3.4377
_cell_angle_alpha 90.00
_cell_angle_beta 90.00
_cell_angle_gamma 120.00
_space_group_name_H-M_alt 'P -6 2 m'
_space_group_IT_number 189
_space_group_name_Hall 'P -6 -2'
loop_
_atom_site_label
_atom_site_fract_x
_atom_site_fract_y
_atom_site_fract_z
_atom_site_occupancy
Al1 0.0000 0.0000 0.0000 1
Sb1 0.3333 0.6667 0.5000 1
Pd1 0.0000 0.3782 0.0000 1
Pd2 0.0000 0.7395 0.5000 1
```

The calculation puts the volume at 16.81 Å³ per atom. The value obtained for the density of states at the Fermi level is 0.158 states/eV per atom. The formation energy without anion corrections is -0.590 eV per atom.

---

DFT (GGA-PBE) results for an optimized crystal structure of AlSb2Pd8.

Cell and atoms, written as CIF:
```
data_AlSb2Pd8
_chemical_formula_sum 'Al2 Sb4 Pd16'
_cell_length_a 14.266
_cell_length_b 4.283
_cell_length_c 6.559
_cell_angle_alpha 90.00
_cell_angle_beta 113.61
_cell_angle_gamma 90.00
_space_group_name_H-M_alt 'C 1 2/m 1'
_space_group_IT_number 12
_space_group_name_Hall '-C 2y'
loop_
_atom_site_label
_atom_site_fract_x
_atom_site_fract_y
_atom_site_fract_z
_atom_site_occupancy
Al1 0.000 0.000 0.000 1
Sb1 0.178 0.500 0.669 1
Pd1 0.027 0.500 0.808 1
Pd2 0.089 0.000 0.433 1
Pd3 0.168 0.000 0.936 1
Pd4 0.182 0.500 0.260 1
```

As for the energy above the most stable polymorph in this dataset: 12 meV/atom. The calculation puts the volume at 16.69 Å³ per atom. The value obtained for the density of states at the Fermi level is 0.420 states/eV per atom. The formation energy without anion corrections is -0.491 eV per atom.

---

DFT (GGA-PBE) results for an optimized crystal structure of Al2SbPd2.

Cell and atoms, written as CIF:
```
data_Al2SbPd2
_chemical_formula_sum 'Al4 Sb2 Pd4'
_cell_length_a 7.647
_cell_length_b 7.647
_cell_length_c 2.930
_cell_angle_alpha 90.00
_cell_angle_beta 90.00
_cell_angle_gamma 90.00
_space_group_name_H-M_alt 'P 4/m b m'
_space_group_IT_number 127
_space_group_name_Hall '-P 4 2ab'
loop_
_atom_site_label
_atom_site_fract_x
_atom_site_fract_y
_atom_site_fract_z
_atom_site_occupancy
Al1 0.146 0.354 0.000 1
Sb1 0.000 0.000 0.500 1
Pd1 0.146 0.646 0.500 1
```

As for the energy above the most stable polymorph in this dataset: 0 meV/atom. The calculation puts the volume at 17.13 Å³ per atom. The value obtained for the density of states at the Fermi level is 0.331 states/eV per atom. The formation energy without anion corrections is -0.526 eV per atom.

---

DFT (GGA-PBE) results for an optimized crystal structure of AlSb3Pd12.

Cell and atoms, written as CIF:
```
data_AlSb3Pd12
_chemical_formula_sum 'Al1 Sb3 Pd12'
_cell_length_a 4.029
_cell_length_b 4.029
_cell_length_c 15.995
_cell_angle_alpha 90.00
_cell_angle_beta 90.00
_cell_angle_gamma 90.00
_space_group_name_H-M_alt 'P 4/m m m'
_space_group_IT_number 123
_space_group_name_Hall '-P 4 2'
loop_
_atom_site_label
_atom_site_fract_x
_atom_site_fract_y
_atom_site_fract_z
_atom_site_occupancy
Al1 0.000 0.000 0.000 1
Sb1 0.000 0.000 0.241 1
Sb2 0.000 0.000 0.500 1
Pd1 0.000 0.500 0.118 1
Pd2 0.000 0.500 0.373 1
Pd3 0.500 0.500 0.000 1
Pd4 0.500 0.500 0.248 1
Pd5 0.500 0.500 0.500 1
```

The calculation puts the volume at 16.23 Å³ per atom. The value obtained for the density of states at the Fermi level is 0.371 states/eV per atom. The formation energy without anion corrections is -0.443 eV per atom.

---

DFT (GGA-PBE) results for an optimized crystal structure of Al2SbPd2.

Cell and atoms, written as CIF:
```
data_Al2SbPd2
_chemical_formula_sum 'Al4 Sb2 Pd4'
_cell_length_a 4.065
_cell_length_b 4.065
_cell_length_c 11.245
_cell_angle_alpha 90.00
_cell_angle_beta 90.00
_cell_angle_gamma 90.00
_space_group_name_H-M_alt 'I 4/m m m'
_space_group_IT_number 139
_space_group_name_Hall '-I 4 2'
loop_
_atom_site_label
_atom_site_fract_x
_atom_site_fract_y
_atom_site_fract_z
_atom_site_occupancy
Al1 0.000 0.000 0.117 1
Sb1 0.000 0.000 0.500 1
Pd1 0.000 0.500 0.250 1
```

As for the energy above the most stable polymorph in this dataset: 174 meV/atom. The calculation puts the volume at 18.58 Å³ per atom. The value obtained for the density of states at the Fermi level is 0.398 states/eV per atom. The formation energy without anion corrections is -0.352 eV per atom.

---

DFT (GGA-PBE) results for an optimized crystal structure of Sm2AlSbPd6.

Cell and atoms, written as CIF:
```
data_Sm2AlSbPd6
_chemical_formula_sum 'Sm2 Al1 Sb1 Pd6'
_cell_length_a 5.518
_cell_length_b 6.565
_cell_length_c 6.630
_cell_angle_alpha 74.00
_cell_angle_beta 65.50
_cell_angle_gamma 65.16
_space_group_name_H-M_alt 'P -1'
_space_group_IT_number 2
_space_group_name_Hall '-P 1'
loop_
_atom_site_label
_atom_site_fract_x
_atom_site_fract_y
_atom_site_fract_z
_atom_site_occupancy
Sm1 0.001 0.249 0.250 1
Al1 0.500 0.500 0.000 1
Sb1 0.500 0.000 0.500 1
Pd1 0.015 0.679 0.296 1
Pd2 0.321 0.920 0.937 1
Pd3 0.488 0.321 0.704 1
```

The calculation puts the volume at 19.68 Å³ per atom. The value obtained for the density of states at the Fermi level is 0.435 states/eV per atom. The formation energy without anion corrections is -0.720 eV per atom.

---

DFT (GGA-PBE) results for an optimized crystal structure of Sr3AlSb2Pd9.

Cell and atoms, written as CIF:
```
data_Sr3AlSb2Pd9
_chemical_formula_sum 'Sr3 Al1 Sb2 Pd9'
_cell_length_a 6.7916
_cell_length_b 6.7916
_cell_length_c 9.1288
_cell_angle_alpha 90.00
_cell_angle_beta 90.00
_cell_angle_gamma 120.00
_space_group_name_H-M_alt 'P -3 m 1'
_space_group_IT_number 164
_space_group_name_Hall '-P 3 2"'
loop_
_atom_site_label
_atom_site_fract_x
_atom_site_fract_y
_atom_site_fract_z
_atom_site_occupancy
Sr1 0.0000 0.0000 0.0000 1
Sr2 0.3333 0.6667 0.6883 1
Al1 0.0000 0.0000 0.5000 1
Sb1 0.3333 0.6667 0.1919 1
Pd1 0.0000 0.5000 0.0000 1
Pd2 0.1330 0.2660 0.2906 1
```

The calculation puts the volume at 24.31 Å³ per atom. The value obtained for the density of states at the Fermi level is 0.550 states/eV per atom. The formation energy without anion corrections is -0.515 eV per atom.

---

DFT (GGA-PBE) results for an optimized crystal structure of Sr2AlSbPd6.

Cell and atoms, written as CIF:
```
data_Sr2AlSbPd6
_chemical_formula_sum 'Sr2 Al1 Sb1 Pd6'
_cell_length_a 6.702
_cell_length_b 6.722
_cell_length_c 6.741
_cell_angle_alpha 61.60
_cell_angle_beta 61.45
_cell_angle_gamma 61.63
_space_group_name_H-M_alt 'P -1'
_space_group_IT_number 2
_space_group_name_Hall '-P 1'
loop_
_atom_site_label
_atom_site_fract_x
_atom_site_fract_y
_atom_site_fract_z
_atom_site_occupancy
Sr1 0.210 0.211 0.210 1
Al1 0.500 0.500 0.500 1
Sb1 0.000 0.000 0.000 1
Pd1 0.181 0.634 0.326 1
Pd2 0.327 0.180 0.633 1
Pd3 0.365 0.673 0.820 1
```

The calculation puts the volume at 22.23 Å³ per atom. The value obtained for the density of states at the Fermi level is 0.467 states/eV per atom. The formation energy without anion corrections is -0.614 eV per atom.

---

DFT (GGA-PBE) results for an optimized crystal structure of AlSbTe2Pd.

Cell and atoms, written as CIF:
```
data_AlSbTe2Pd
_chemical_formula_sum 'Al1 Sb1 Te2 Pd1'
_cell_length_a 5.460
_cell_length_b 5.460
_cell_length_c 5.082
_cell_angle_alpha 90.00
_cell_angle_beta 90.00
_cell_angle_gamma 90.00
_space_group_name_H-M_alt 'P 4/m m m'
_space_group_IT_number 123
_space_group_name_Hall '-P 4 2'
loop_
_atom_site_label
_atom_site_fract_x
_atom_site_fract_y
_atom_site_fract_z
_atom_site_occupancy
Al1 0.000 0.000 0.000 1
Sb1 0.500 0.500 0.000 1
Te1 0.000 0.500 0.500 1
Pd1 0.500 0.500 0.500 1
```

As for the energy above the most stable polymorph in this dataset: 0 meV/atom. The calculation puts the volume at 30.30 Å³ per atom. The value obtained for the density of states at the Fermi level is 1.163 states/eV per atom. The formation energy without anion corrections is 0.391 eV per atom.

---

DFT (GGA-PBE) results for an optimized crystal structure of AlSbTe2Pd.

Cell and atoms, written as CIF:
```
data_AlSbTe2Pd
_chemical_formula_sum 'Al1 Sb1 Te2 Pd1'
_cell_length_a 5.278
_cell_length_b 5.278
_cell_length_c 5.181
_cell_angle_alpha 90.00
_cell_angle_beta 90.00
_cell_angle_gamma 90.00
_space_group_name_H-M_alt 'P 4/m m m'
_space_group_IT_number 123
_space_group_name_Hall '-P 4 2'
loop_
_atom_site_label
_atom_site_fract_x
_atom_site_fract_y
_atom_site_fract_z
_atom_site_occupancy
Al1 0.000 0.000 0.000 1
Sb1 0.000 0.000 0.500 1
Te1 0.000 0.500 0.000 1
Pd1 0.500 0.500 0.500 1
```

As for the energy above the most stable polymorph in this dataset: 213 meV/atom. The calculation puts the volume at 28.86 Å³ per atom. The value obtained for the density of states at the Fermi level is 0.870 states/eV per atom. The formation energy without anion corrections is 0.605 eV per atom.

---

DFT (GGA-PBE) results for an optimized crystal structure of AlV2SbPd.

Cell and atoms, written as CIF:
```
data_AlV2SbPd
_chemical_formula_sum 'Al1 V2 Sb1 Pd1'
_cell_length_a 4.492
_cell_length_b 4.492
_cell_length_c 4.990
_cell_angle_alpha 90.00
_cell_angle_beta 90.00
_cell_angle_gamma 90.00
_space_group_name_H-M_alt 'P 4/m m m'
_space_group_IT_number 123
_space_group_name_Hall '-P 4 2'
loop_
_atom_site_label
_atom_site_fract_x
_atom_site_fract_y
_atom_site_fract_z
_atom_site_occupancy
Al1 0.000 0.000 0.000 1
V1 0.000 0.500 0.000 1
Sb1 0.000 0.000 0.500 1
Pd1 0.500 0.500 0.500 1
```

The calculation puts the volume at 20.14 Å³ per atom. The value obtained for the density of states at the Fermi level is 1.344 states/eV per atom. The formation energy without anion corrections is 1.227 eV per atom.

---

DFT (GGA-PBE) results for an optimized crystal structure of ZrAlSb2Pd.

Cell and atoms, written as CIF:
```
data_ZrAlSb2Pd
_chemical_formula_sum 'Zr1 Al1 Sb2 Pd1'
_cell_length_a 5.302
_cell_length_b 5.302
_cell_length_c 4.494
_cell_angle_alpha 90.00
_cell_angle_beta 90.00
_cell_angle_gamma 90.00
_space_group_name_H-M_alt 'P 4/m m m'
_space_group_IT_number 123
_space_group_name_Hall '-P 4 2'
loop_
_atom_site_label
_atom_site_fract_x
_atom_site_fract_y
_atom_site_fract_z
_atom_site_occupancy
Zr1 0.000 0.000 0.000 1
Al1 0.500 0.500 0.000 1
Sb1 0.000 0.500 0.500 1
Pd1 0.500 0.500 0.500 1
```

The calculation puts the volume at 25.26 Å³ per atom. The value obtained for the density of states at the Fermi level is 0.737 states/eV per atom. The formation energy without anion corrections is 0.255 eV per atom.